--- i ---
Density functional theory data (PBE-GGA) for a geometry-optimized Tb4NdTl2 structure.

Unit cell a=9.197 b=9.197 c=5.307 alpha=90.00 beta=90.00 gamma=90.00
Positions (direct):
Tb: 0.078 0.333 0.000
Tb: 0.167 0.578 0.500
Tb: 0.333 0.078 0.000
Tb: 0.422 0.833 0.500
Tb: 0.578 0.167 0.500
Tb: 0.667 0.922 0.000
Tb: 0.833 0.422 0.500
Tb: 0.922 0.667 0.000
Nd: 0.000 0.000 0.500
Nd: 0.500 0.500 0.000
Tl: 0.245 0.755 0.000
Tl: 0.255 0.255 0.500
Tl: 0.745 0.745 0.500
Tl: 0.755 0.245 0.000

M_tot	0.00	μB/f.u.
symmetry	P4_2/mnm

=====

--- ii ---
Density functional theory data (PBE-GGA) for a geometry-optimized Tb4NdTl2 structure.

Unit cell a=8.820 b=8.820 c=9.881 alpha=105.79 beta=105.79 gamma=36.13
Positions (direct):
Tb: 0.034 0.034 0.188
Tb: 0.259 0.259 0.419
Tb: 0.298 0.298 0.807
Tb: 0.360 0.360 0.173
Tb: 0.640 0.640 0.827
Tb: 0.702 0.702 0.193
Tb: 0.741 0.741 0.581
Tb: 0.966 0.966 0.812
Nd: 0.099 0.099 0.574
Nd: 0.901 0.901 0.426
Tl: 0.158 0.158 0.000
Tl: 0.449 0.449 0.631
Tl: 0.551 0.551 0.369
Tl: 0.842 0.842 0.000

M_tot	0.00	μB/f.u.
symmetry	C2/m

=====

Relative energies, meV per atom: i 11; ii 0.